VASP calculation (PBE) on PmSm5 after structural relaxation.

Unit cell a=5.141 b=7.266 c=10.882 alpha=90.00 beta=90.00 gamma=90.00
Element x y z (fractional)
Pm: 0.750 0.625 0.250
Pm: 0.250 0.375 0.750
Sm: 0.750 0.125 0.250
Sm: 0.250 0.875 0.750
Sm: 0.250 0.875 0.417
Sm: 0.750 0.125 0.917
Sm: 0.750 0.125 0.583
Sm: 0.250 0.875 0.083
Sm: 0.250 0.375 0.417
Sm: 0.750 0.625 0.917
Sm: 0.750 0.625 0.583
Sm: 0.250 0.375 0.083

Values from the calculation:
uncorrected energy: -4.71 eV/atom

***

VASP calculation (PBE) on Te6Mo7 after structural relaxation.

Unit cell a=12.488 b=12.488 c=12.488 alpha=25.06 beta=25.06 gamma=25.06
Element x y z (fractional)
Mo: 0.598 0.094 0.598
Mo: 0.598 0.598 0.094
Mo: 0.094 0.598 0.598
Mo: 0.402 0.906 0.402
Mo: 0.906 0.402 0.402
Mo: 0.402 0.402 0.906
Mo: 0.500 0.500 0.500
Te: 0.069 0.069 0.069
Te: 0.931 0.931 0.931
Te: 0.173 0.173 0.173
Te: 0.827 0.827 0.827
Te: 0.366 0.366 0.366
Te: 0.634 0.634 0.634

Values from the calculation:
uncorrected energy: -6.96 eV/atom
E_form (uncorrected): 0.3214 eV/atom

***

VASP calculation (PBE) on TaTiAs after structural relaxation.

Unit cell a=2.760 b=4.657 c=4.657 alpha=120.00 beta=90.00 gamma=90.00
Element x y z (fractional)
As: 0.123 0.000 0.000
Ti: 0.691 0.667 0.333
Ta: 0.185 0.333 0.667

Values from the calculation:
uncorrected energy: -8.21 eV/atom

***

VASP calculation (PBE) on La2CuSe after structural relaxation.

Unit cell a=7.943 b=7.943 c=7.943 alpha=29.90 beta=29.90 gamma=29.90
Element x y z (fractional)
Cu: 0.791 0.791 0.791
La: 0.027 0.027 0.027
La: 0.222 0.222 0.222
Se: 0.459 0.459 0.459

Values from the calculation:
uncorrected energy: -4.93 eV/atom
E_form (uncorrected): -0.5717 eV/atom

***

VASP calculation (PBE) on CrHg2Ru after structural relaxation.

Unit cell a=2.916 b=2.932 c=8.528 alpha=77.59 beta=90.00 gamma=90.00
Element x y z (fractional)
Cr: 0.500 0.825 0.707
Hg: 0.000 0.169 0.957
Hg: 0.500 0.083 0.286
Ru: 0.000 0.423 0.549

Values from the calculation:
uncorrected energy: -4.58 eV/atom

***

VASP calculation (PBE) on DyMg2Bi after structural relaxation.

Unit cell a=3.383 b=3.383 c=11.810 alpha=81.76 beta=81.76 gamma=60.00
Element x y z (fractional)
Mg: 0.091 0.091 0.728
Mg: 0.909 0.909 0.272
Bi: 0.500 0.500 0.500
Dy: 0.000 0.000 0.000

Values from the calculation:
uncorrected energy: -2.75 eV/atom

***

VASP calculation (PBE) on SnBiOsC2 after structural relaxation.

Unit cell a=4.422 b=5.310 c=4.422 alpha=90.00 beta=90.00 gamma=90.00
Element x y z (fractional)
C: 0.000 0.000 0.500
C: 0.500 0.000 0.000
Os: 0.000 0.500 0.000
Bi: 0.000 0.000 0.000
Sn: 0.500 0.500 0.500

Values from the calculation:
uncorrected energy: -4.58 eV/atom

***

VASP calculation (PBE) on NaCd2Pt after structural relaxation.

Unit cell a=4.663 b=4.663 c=5.714 alpha=65.92 beta=65.92 gamma=60.00
Element x y z (fractional)
Na: 0.490 0.490 0.531
Cd: 0.050 0.050 0.851
Cd: 0.280 0.280 0.161
Pt: 0.681 0.681 0.957

Values from the calculation:
uncorrected energy: -2.48 eV/atom